VASP calculation (PBE-GGA) on a geometry-optimized LaCd3Cl structure.

a = 6.4444 Å, b = 6.4444 Å, c = 6.4444 Å
α = 90.00°, β = 90.00°, γ = 90.00°
Sites, in units of the cell vectors:
La1 0.0000 0.0000 0.0000
Cd1 0.0000 0.0000 0.5000
Cd2 0.0000 0.5000 0.0000
Cd3 0.5000 0.0000 0.0000
Cl1 0.5000 0.5000 0.5000

Properties
- D(E_F) (states/eV per cell) = 5.46
- ΔE to the lowest computed polymorph (eV/atom) = 0.283
- total moment (μB per formula unit) = 0.57
- SG = No. 221
- final energy (eV/atom) = -1.49

VASP calculation (PBE-GGA) on a geometry-optimized La3CdCl structure.

a = 5.4749 Å, b = 5.4749 Å, c = 5.4749 Å
α = 90.00°, β = 90.00°, γ = 90.00°
Sites, in units of the cell vectors:
La1 0.0000 0.0000 0.5000
La2 0.0000 0.5000 0.0000
La3 0.5000 0.0000 0.0000
Cd1 0.5000 0.5000 0.5000
Cl1 0.0000 0.0000 0.0000

Properties
- D(E_F) (states/eV per cell) = 3.92
- ΔE to the lowest computed polymorph (eV/atom) = 0.104
- total moment (μB per formula unit) = 0.00
- SG = No. 221
- final energy (eV/atom) = -4.10

VASP calculation (PBE-GGA) on a geometry-optimized La3CdCl structure.

a = 8.3874 Å, b = 8.3874 Å, c = 9.5855 Å
α = 91.80°, β = 91.80°, γ = 27.66°
Sites, in units of the cell vectors:
La1 0.0457 0.0457 0.2832
La2 0.2386 0.2386 0.6625
La3 0.3874 0.3874 0.0593
La4 0.6126 0.6126 0.9407
La5 0.7614 0.7614 0.3375
La6 0.9543 0.9543 0.7168
Cd1 0.4093 0.4093 0.4401
Cd2 0.5907 0.5907 0.5599
Cl1 0.2022 0.2022 0.1264
Cl2 0.7978 0.7978 0.8736

Properties
- D(E_F) (states/eV per cell) = 13.34
- ΔE to the lowest computed polymorph (eV/atom) = 0.000
- total moment (μB per formula unit) = 0.00
- SG = No. 12
- final energy (eV/atom) = -4.21

VASP calculation (PBE-GGA) on a geometry-optimized LaCd2Cl8 structure.

a = 8.0763 Å, b = 8.0763 Å, c = 8.0763 Å
α = 128.21°, β = 128.21°, γ = 76.28°
Sites, in units of the cell vectors:
La1 0.0000 0.0000 0.0000
Cd1 0.2500 0.7500 0.5000
Cd2 0.7500 0.2500 0.5000
Cl1 0.0671 0.5794 0.8807
Cl2 0.1864 0.0671 0.4877
Cl3 0.3013 0.4206 0.4877
Cl4 0.4206 0.9329 0.1193
Cl5 0.5794 0.6987 0.5123
Cl6 0.6987 0.1864 0.1193
Cl7 0.8136 0.3013 0.8807
Cl8 0.9329 0.8136 0.5123

Properties
- D(E_F) (states/eV per cell) = 8.60
- total moment (μB per formula unit) = 0.00
- SG = No. 97
- final energy (eV/atom) = -3.26